Record 1
VASP calculation (PBE-GGA) on a relaxed structure of TlReRu.

## Properties
The total energy is -7.2329 eV/atom. For the density of states at the Fermi level, the calculation gives 1.14 states/eV per atom.

Unit cell a=7.6678 b=7.3949 c=2.8963 alpha=84.27 beta=73.66 gamma=22.08
Atoms (fractional coordinates):
1 Tl 0.0000 0.0000 0.0000
2 Re 0.6832 0.6832 0.3168
3 Ru 0.3258 0.3258 0.6742

Record 2
VASP calculation (PBE-GGA) on a relaxed structure of TlRe2Ru.

## Properties
The total energy is -8.6705 eV/atom. For the density of states at the Fermi level, the calculation gives 1.26 states/eV per atom. Its polymorph energy (0 for the lowest one) is 0 meV/atom.

Unit cell a=2.8815 b=2.8815 c=7.9646 alpha=90.00 beta=90.00 gamma=90.00
Atoms (fractional coordinates):
1 Tl 0.0000 0.0000 0.0000
2 Re 0.0000 0.0000 0.5089
3 Re 0.5000 0.5000 0.2872
4 Ru 0.5000 0.5000 0.7288

Record 3
VASP calculation (PBE-GGA) on a relaxed structure of TlReRu2.

## Properties
The total energy is -7.7597 eV/atom. For the density of states at the Fermi level, the calculation gives 1.02 states/eV per atom. Its polymorph energy (0 for the lowest one) is 289 meV/atom.

Unit cell a=4.7736 b=4.7736 c=5.0961 alpha=99.55 beta=99.55 gamma=34.98
Atoms (fractional coordinates):
1 Tl 0.0000 0.0000 0.0000
2 Re 0.5000 0.5000 0.5000
3 Ru 0.2393 0.2393 0.7104
4 Ru 0.7607 0.7607 0.2896

Record 4
VASP calculation (PBE-GGA) on a relaxed structure of TlRe4Ru.

## Properties
The total energy is -9.4461 eV/atom. For the density of states at the Fermi level, the calculation gives 1.01 states/eV per atom.

Unit cell a=5.2267 b=5.2267 c=5.2267 alpha=60.00 beta=60.00 gamma=60.00
Atoms (fractional coordinates):
1 Tl 0.0000 0.0000 0.0000
2 Re 0.1253 0.6249 0.6249
3 Re 0.6249 0.1253 0.6249
4 Re 0.6249 0.6249 0.1253
5 Re 0.6249 0.6249 0.6249
6 Ru 0.2500 0.2500 0.2500

Record 5
VASP calculation (PBE-GGA) on a relaxed structure of TlRe2Ru.

## Properties
The total energy is -8.4535 eV/atom. For the density of states at the Fermi level, the calculation gives 1.36 states/eV per atom. Its polymorph energy (0 for the lowest one) is 217 meV/atom.

Unit cell a=2.8207 b=2.8207 c=8.2803 alpha=90.00 beta=90.00 gamma=90.00
Atoms (fractional coordinates):
1 Tl 0.0000 0.0000 0.0000
2 Re 0.5000 0.5000 0.2782
3 Re 0.5000 0.5000 0.7218
4 Ru 0.0000 0.0000 0.5000

Record 6
VASP calculation (PBE-GGA) on a relaxed structure of TlReRu2.

## Properties
The total energy is -7.6858 eV/atom. For the density of states at the Fermi level, the calculation gives 1.39 states/eV per atom. Its polymorph energy (0 for the lowest one) is 363 meV/atom.

Unit cell a=4.7898 b=4.7898 c=2.8932 alpha=90.00 beta=90.00 gamma=105.43
Atoms (fractional coordinates):
1 Tl 0.0000 0.0000 0.0000
2 Re 0.5000 0.5000 0.0000
3 Ru 0.0000 0.5000 0.5000
4 Ru 0.5000 0.0000 0.5000

Record 7
VASP calculation (PBE-GGA) on a relaxed structure of TlReRu2.

## Properties
The total energy is -7.9011 eV/atom. For the density of states at the Fermi level, the calculation gives 0.87 states/eV per atom. Its polymorph energy (0 for the lowest one) is 147 meV/atom.

Unit cell a=2.8528 b=3.7294 c=6.1360 alpha=90.00 beta=90.00 gamma=90.00
Atoms (fractional coordinates):
1 Tl 0.0000 0.0000 0.0000
2 Re 0.0000 0.0000 0.5000
3 Ru 0.5000 0.5000 0.2835
4 Ru 0.5000 0.5000 0.7165

Record 8
VASP calculation (PBE-GGA) on a relaxed structure of TlReRu2.

## Properties
The total energy is -7.6859 eV/atom. For the density of states at the Fermi level, the calculation gives 1.31 states/eV per atom. Its polymorph energy (0 for the lowest one) is 362 meV/atom.

Unit cell a=6.3081 b=6.3081 c=6.3081 alpha=153.68 beta=140.73 gamma=47.89
Atoms (fractional coordinates):
1 Tl 0.0000 0.0000 0.0000
2 Re 0.2378 0.7378 0.5000
3 Ru 0.4152 0.4152 0.0000
4 Ru 0.6677 0.1677 0.5000

Record 9
VASP calculation (PBE-GGA) on a relaxed structure of Tl4ReRu.

## Properties
The total energy is -3.5962 eV/atom. For the density of states at the Fermi level, the calculation gives 0.77 states/eV per atom.

Unit cell a=5.9892 b=5.9892 c=5.9892 alpha=60.00 beta=60.00 gamma=60.00
Atoms (fractional coordinates):
1 Tl 0.1250 0.1250 0.1250
2 Tl 0.1250 0.1250 0.6251
3 Tl 0.1250 0.6251 0.1250
4 Tl 0.6251 0.1250 0.1250
5 Re 0.5000 0.5000 0.5000
6 Ru 0.7500 0.7500 0.7500

Record 10
VASP calculation (PBE-GGA) on a relaxed structure of TlRe2Ru.

## Properties
The total energy is -8.2895 eV/atom. For the density of states at the Fermi level, the calculation gives 0.90 states/eV per atom. Its polymorph energy (0 for the lowest one) is 381 meV/atom.

Unit cell a=5.3444 b=5.3444 c=5.3444 alpha=146.15 beta=128.03 gamma=63.47
Atoms (fractional coordinates):
1 Tl 0.0000 0.0000 0.0000
2 Re 0.2635 0.7635 0.5000
3 Re 0.4860 0.4860 0.0000
4 Ru 0.7427 0.2427 0.5000

Record 11
VASP calculation (PBE-GGA) on a relaxed structure of TlRe2Ru.

## Properties
The total energy is -8.3825 eV/atom. For the density of states at the Fermi level, the calculation gives 0.82 states/eV per atom. Its polymorph energy (0 for the lowest one) is 288 meV/atom.

Unit cell a=5.1711 b=5.1711 c=5.1711 alpha=136.43 beta=136.43 gamma=63.31
Atoms (fractional coordinates):
1 Tl 0.0000 0.0000 0.0000
2 Re 0.2500 0.7500 0.5000
3 Re 0.7500 0.2500 0.5000
4 Ru 0.5000 0.5000 0.0000

Record 12
VASP calculation (PBE-GGA) on a relaxed structure of TlReRu2.

## Properties
The total energy is -7.5606 eV/atom. For the density of states at the Fermi level, the calculation gives 1.45 states/eV per atom. Its polymorph energy (0 for the lowest one) is 488 meV/atom.

Unit cell a=5.3714 b=5.3714 c=5.3714 alpha=147.83 beta=127.05 gamma=63.32
Atoms (fractional coordinates):
1 Tl 0.0000 0.0000 0.0000
2 Re 0.5000 0.5000 0.0000
3 Ru 0.2615 0.7615 0.5000
4 Ru 0.7385 0.2385 0.5000

Record 13
VASP calculation (PBE-GGA) on a relaxed structure of TlRe2Ru.

## Properties
The total energy is -8.3428 eV/atom. For the density of states at the Fermi level, the calculation gives 1.37 states/eV per atom. Its polymorph energy (0 for the lowest one) is 328 meV/atom.

Unit cell a=4.8966 b=4.8966 c=4.8966 alpha=131.41 beta=131.41 gamma=71.17
Atoms (fractional coordinates):
1 Tl 0.0000 0.0000 0.0000
2 Re 0.2500 0.7500 0.5000
3 Re 0.5000 0.5000 0.0000
4 Ru 0.7500 0.2500 0.5000

Record 14
VASP calculation (PBE-GGA) on a relaxed structure of TlReRu2.

## Properties
The total energy is -7.7810 eV/atom. For the density of states at the Fermi level, the calculation gives 1.17 states/eV per atom. Its polymorph energy (0 for the lowest one) is 267 meV/atom.

Unit cell a=4.9226 b=4.9226 c=4.8561 alpha=100.95 beta=100.95 gamma=34.35
Atoms (fractional coordinates):
1 Tl 0.0000 0.0000 0.0000
2 Re 0.2333 0.2333 0.6756
3 Ru 0.5003 0.5003 0.5092
4 Ru 0.7605 0.7605 0.2414

Record 15
VASP calculation (PBE-GGA) on a relaxed structure of TlReRu2.

## Properties
The total energy is -7.6734 eV/atom. For the density of states at the Fermi level, the calculation gives 1.16 states/eV per atom. Its polymorph energy (0 for the lowest one) is 375 meV/atom.

Unit cell a=5.0716 b=5.0716 c=5.0716 alpha=135.19 beta=135.19 gamma=65.24
Atoms (fractional coordinates):
1 Tl 0.0000 0.0000 0.0000
2 Re 0.2500 0.7500 0.5000
3 Ru 0.5000 0.5000 0.0000
4 Ru 0.7500 0.2500 0.5000

Record 16
VASP calculation (PBE-GGA) on a relaxed structure of TlReRu2.

## Properties
The total energy is -7.9054 eV/atom. For the density of states at the Fermi level, the calculation gives 0.89 states/eV per atom. Its polymorph energy (0 for the lowest one) is 143 meV/atom.

Unit cell a=9.2552 b=9.2552 c=9.2552 alpha=17.88 beta=17.88 gamma=17.88
Atoms (fractional coordinates):
1 Tl 0.0000 0.0000 0.0000
2 Re 0.5000 0.5000 0.5000
3 Ru 0.2430 0.2430 0.2430
4 Ru 0.7570 0.7570 0.7570

Record 17
VASP calculation (PBE-GGA) on a relaxed structure of TlReRu2.

## Properties
The total energy is -7.5172 eV/atom. For the density of states at the Fermi level, the calculation gives 1.29 states/eV per atom. Its polymorph energy (0 for the lowest one) is 531 meV/atom.

Unit cell a=2.8335 b=2.8335 c=9.4610 alpha=90.00 beta=90.00 gamma=118.35
Atoms (fractional coordinates):
1 Tl 0.0000 0.0000 0.0000
2 Re 0.5000 0.5000 0.2788
3 Ru 0.0000 0.0000 0.5044
4 Ru 0.5000 0.5000 0.7391

Record 18
VASP calculation (PBE-GGA) on a relaxed structure of TlRe2Ru.

## Properties
The total energy is -8.4062 eV/atom. For the density of states at the Fermi level, the calculation gives 1.27 states/eV per atom. Its polymorph energy (0 for the lowest one) is 264 meV/atom.

Unit cell a=2.8378 b=2.8378 c=9.4225 alpha=90.00 beta=90.00 gamma=117.34
Atoms (fractional coordinates):
1 Tl 0.0000 0.0000 0.0000
2 Re 0.0000 0.0000 0.4914
3 Re 0.5000 0.5000 0.7213
4 Ru 0.5000 0.5000 0.2622

Record 19
VASP calculation (PBE-GGA) on a relaxed structure of TlReRu2.

## Properties
The total energy is -7.4523 eV/atom. For the density of states at the Fermi level, the calculation gives 1.45 states/eV per atom. Its polymorph energy (0 for the lowest one) is 596 meV/atom.

Unit cell a=2.9707 b=4.5615 c=4.8021 alpha=90.00 beta=90.00 gamma=90.00
Atoms (fractional coordinates):
1 Tl 0.0000 0.0000 0.0000
2 Re 0.5000 0.0000 0.5000
3 Ru 0.0000 0.5000 0.5000
4 Ru 0.5000 0.5000 0.0000

Record 20
VASP calculation (PBE-GGA) on a relaxed structure of TlReRu2.

## Properties
The total energy is -7.7643 eV/atom. For the density of states at the Fermi level, the calculation gives 1.09 states/eV per atom. Its polymorph energy (0 for the lowest one) is 284 meV/atom.

Unit cell a=2.8316 b=4.0267 c=5.7661 alpha=90.00 beta=90.00 gamma=90.00
Atoms (fractional coordinates):
1 Tl 0.0000 0.0000 0.0000
2 Re 0.5000 0.5000 0.3136
3 Ru 0.0000 0.0000 0.4936
4 Ru 0.5000 0.5000 0.7426

Record 21
VASP calculation (PBE-GGA) on a relaxed structure of TlRe2Ru.

## Properties
The total energy is -8.2498 eV/atom. For the density of states at the Fermi level, the calculation gives 1.05 states/eV per atom. Its polymorph energy (0 for the lowest one) is 421 meV/atom.

Unit cell a=3.8055 b=3.8055 c=4.5385 alpha=90.00 beta=90.00 gamma=90.00
Atoms (fractional coordinates):
1 Tl 0.0000 0.0000 0.0000
2 Re 0.0000 0.5000 0.5000
3 Re 0.5000 0.0000 0.5000
4 Ru 0.5000 0.5000 0.0000

Record 22
VASP calculation (PBE-GGA) on a relaxed structure of TlReRu2.

## Properties
The total energy is -7.4893 eV/atom. For the density of states at the Fermi level, the calculation gives 0.95 states/eV per atom. Its polymorph energy (0 for the lowest one) is 559 meV/atom.

Unit cell a=4.5163 b=4.5163 c=4.5163 alpha=60.00 beta=60.00 gamma=60.00
Atoms (fractional coordinates):
1 Tl 0.0000 0.0000 0.0000
2 Re 0.7500 0.7500 0.7500
3 Ru 0.2500 0.2500 0.2500
4 Ru 0.5000 0.5000 0.5000

Record 23
VASP calculation (PBE-GGA) on a relaxed structure of TlRe2Ru.

## Properties
The total energy is -8.3197 eV/atom. For the density of states at the Fermi level, the calculation gives 0.91 states/eV per atom. Its polymorph energy (0 for the lowest one) is 351 meV/atom.

Unit cell a=4.5206 b=4.5206 c=4.5206 alpha=60.00 beta=60.00 gamma=60.00
Atoms (fractional coordinates):
1 Tl 0.0000 0.0000 0.0000
2 Re 0.2500 0.2500 0.2500
3 Re 0.5000 0.5000 0.5000
4 Ru 0.7500 0.7500 0.7500

Record 24
VASP calculation (PBE-GGA) on a relaxed structure of TlReRu4.

## Properties
The total energy is -7.9189 eV/atom. For the density of states at the Fermi level, the calculation gives 1.39 states/eV per atom.

Unit cell a=5.1272 b=5.1272 c=5.1272 alpha=60.00 beta=60.00 gamma=60.00
Atoms (fractional coordinates):
1 Tl 0.0000 0.0000 0.0000
2 Re 0.7500 0.7500 0.7500
3 Ru 0.3752 0.3752 0.3752
4 Ru 0.3752 0.3752 0.8745
5 Ru 0.3752 0.8745 0.3752
6 Ru 0.8745 0.3752 0.3752

Record 25
VASP calculation (PBE-GGA) on a relaxed structure of TlRe2Ru.

## Properties
The total energy is -8.0411 eV/atom. For the density of states at the Fermi level, the calculation gives 1.40 states/eV per atom. Its polymorph energy (0 for the lowest one) is 629 meV/atom.

Unit cell a=4.7729 b=4.7729 c=2.8959 alpha=90.00 beta=90.00 gamma=90.00
Atoms (fractional coordinates):
1 Tl 0.0000 0.0000 0.0000
2 Re 0.0000 0.5000 0.5000
3 Re 0.5000 0.0000 0.5000
4 Ru 0.5000 0.5000 0.0000

Record 26
VASP calculation (PBE-GGA) on a relaxed structure of TlRe2Ru.

## Properties
The total energy is -8.6273 eV/atom. For the density of states at the Fermi level, the calculation gives 1.13 states/eV per atom. Its polymorph energy (0 for the lowest one) is 43 meV/atom.

Unit cell a=9.3552 b=9.3552 c=9.3552 alpha=17.71 beta=17.71 gamma=17.71
Atoms (fractional coordinates):
1 Tl 0.0000 0.0000 0.0000
2 Re 0.2407 0.2407 0.2407
3 Re 0.4978 0.4978 0.4978
4 Ru 0.7550 0.7550 0.7550

Record 27
VASP calculation (PBE-GGA) on a relaxed structure of TlRe2Ru.

## Properties
The total energy is -7.9512 eV/atom. For the density of states at the Fermi level, the calculation gives 1.32 states/eV per atom. Its polymorph energy (0 for the lowest one) is 719 meV/atom.

Unit cell a=5.9344 b=5.9344 c=5.9344 alpha=101.22 beta=101.22 gamma=127.64
Atoms (fractional coordinates):
1 Tl 0.0000 0.0000 0.0000
2 Tl 0.7500 0.2500 0.5000
3 Re 0.1797 0.6250 0.0547
4 Re 0.3750 0.4297 0.5547
5 Re 0.5703 0.1250 0.9453
6 Re 0.8750 0.8203 0.4453
7 Ru 0.2500 0.7500 0.5000
8 Ru 0.5000 0.5000 0.0000

Record 28
VASP calculation (PBE-GGA) on a relaxed structure of TlReRu3.

## Properties
The total energy is -7.0710 eV/atom. For the density of states at the Fermi level, the calculation gives 1.67 states/eV per atom. Its polymorph energy (0 for the lowest one) is 0 meV/atom.

Unit cell a=4.7183 b=4.7183 c=4.7183 alpha=90.00 beta=90.00 gamma=90.00
Atoms (fractional coordinates):
1 Tl 0.0000 0.0000 0.0000
2 Re 0.5000 0.5000 0.5000
3 Ru 0.0000 0.5000 0.5000
4 Ru 0.5000 0.0000 0.5000
5 Ru 0.5000 0.5000 0.0000

Record 29
VASP calculation (PBE-GGA) on a relaxed structure of TlRe2Ru.

## Properties
The total energy is -8.2619 eV/atom. For the density of states at the Fermi level, the calculation gives 1.14 states/eV per atom. Its polymorph energy (0 for the lowest one) is 409 meV/atom.

Unit cell a=5.0490 b=5.0490 c=2.8760 alpha=90.00 beta=90.00 gamma=116.62
Atoms (fractional coordinates):
1 Tl 0.0000 0.0000 0.0000
2 Re 0.0000 0.5000 0.5000
3 Re 0.5000 0.0000 0.5000
4 Ru 0.5000 0.5000 0.0000

Record 30
VASP calculation (PBE-GGA) on a relaxed structure of TlRe2Ru.

## Properties
The total energy is -8.4467 eV/atom. For the density of states at the Fermi level, the calculation gives 1.09 states/eV per atom. Its polymorph energy (0 for the lowest one) is 224 meV/atom.

Unit cell a=2.8355 b=4.0367 c=5.8978 alpha=90.00 beta=90.00 gamma=90.00
Atoms (fractional coordinates):
1 Tl 0.0000 0.0000 0.0000
2 Re 0.5000 0.5000 0.2958
3 Re 0.5000 0.5000 0.7042
4 Ru 0.0000 0.0000 0.5000